Density functional theory data (meta-GGA SCAN) for a crystal of Mg2CrNi relaxed with PBEsol.

magnetization	3.7	μB/cell
N(E_F)	1.89	states/eV per cell
uncorrected energy	-44.2	eV for the cell shown
energy relative to the lowest polymorph listed for this composition	0	meV per atom
calculated volume	61	Å³/cell

Cell lengths 4.4071, 4.4071, 4.4071 Å; angles 60.00, 60.00, 60.00 degrees
With the nearest neighbours (Å) after each atom.
Fractional positions:
Mg 0.2500 0.2500 0.2500  4 Ni 2.70, 4 Cr 2.70
Mg 0.7500 0.7500 0.7500  4 Ni 2.70, 4 Cr 2.70
Cr 0.0000 0.0000 0.0000  8 Mg 2.70
Ni 0.5000 0.5000 0.5000  8 Mg 2.70



Density functional theory data (meta-GGA SCAN) for a crystal of Mg2PBr relaxed with PBEsol.

magnetization	0.0	μB/cell
N(E_F)	0.89	states/eV per cell
uncorrected energy	-42.2	eV for the cell shown
formation energy (no corrections)	-0.59	eV per atom
energy relative to the lowest polymorph listed for this composition	460	meV per atom
calculated volume	88	Å³/cell

Cell lengths 3.6208, 3.6208, 7.3265 Å; angles 90.00, 90.00, 113.27 degrees
With the nearest neighbours (Å) after each atom.
Fractional positions:
Mg 0.0000 0.0000 0.2045  2 P 2.49
Mg 0.0000 0.0000 0.7955  2 P 2.49
P 0.5000 0.5000 0.0000  4 Mg 2.49
Br 0.5000 0.5000 0.5000  4 Mg 2.94



Which formula does entry 1 have?
Mg2CrNi



Please write out number 1 again, unchanged.
Density functional theory data (meta-GGA SCAN) for a crystal of Mg2CrNi relaxed with PBEsol.

magnetization	3.7	μB/cell
N(E_F)	1.89	states/eV per cell
uncorrected energy	-44.2	eV for the cell shown
energy relative to the lowest polymorph listed for this composition	0	meV per atom
calculated volume	61	Å³/cell

Cell lengths 4.4071, 4.4071, 4.4071 Å; angles 60.00, 60.00, 60.00 degrees
With the nearest neighbours (Å) after each atom.
Fractional positions:
Mg 0.2500 0.2500 0.2500  4 Ni 2.70, 4 Cr 2.70
Mg 0.7500 0.7500 0.7500  4 Ni 2.70, 4 Cr 2.70
Cr 0.0000 0.0000 0.0000  8 Mg 2.70
Ni 0.5000 0.5000 0.5000  8 Mg 2.70